[1]
# GGA-PBEsol TaCrSe, relaxed
# magnetic moment: 0.27 μB per atom
# density of states at the Fermi level: 1.905 states/eV per cell
# ΔE to the lowest computed polymorph: 153 meV/atom
data_TaCrSe
_chemical_formula_sum 'Ta1 Cr1 Se1'
_symmetry_space_group_name_H-M 'P 1'
_symmetry_Int_Tables_number 1
_cell_length_a 4.086
_cell_length_b 4.086
_cell_length_c 4.086
_cell_angle_alpha 60.00
_cell_angle_beta 60.00
_cell_angle_gamma 60.00
loop_
_symmetry_equiv_pos_as_xyz
'x,y,z'
loop_
_atom_site_label
_atom_site_fract_x
_atom_site_fract_y
_atom_site_fract_z
Ta1 0.000 0.000 0.000
Cr1 0.750 0.750 0.750
Se1 0.500 0.500 0.500

---

[2]
# GGA-PBEsol KCa2Nb3O10, relaxed
# magnetic moment: 0.00 μB per atom
# density of states at the Fermi level: 0.000 states/eV per cell
# ΔE to the lowest computed polymorph: 9 meV/atom
data_KCa2Nb3O10
_chemical_formula_sum 'K2 Ca4 Nb6 O20'
_symmetry_space_group_name_H-M 'P 1'
_symmetry_Int_Tables_number 1
_cell_length_a 14.716
_cell_length_b 14.716
_cell_length_c 7.802
_cell_angle_alpha 90.00
_cell_angle_beta 90.00
_cell_angle_gamma 164.70
loop_
_symmetry_equiv_pos_as_xyz
'x,y,z'
loop_
_atom_site_label
_atom_site_fract_x
_atom_site_fract_y
_atom_site_fract_z
K1 0.245 0.755 0.500
K2 0.755 0.245 0.000
Ca1 0.073 0.927 0.479
Ca2 0.079 0.921 0.998
Ca3 0.921 0.079 0.498
Ca4 0.927 0.073 0.979
Nb1 0.355 0.645 0.753
Nb2 0.357 0.643 0.243
Nb3 0.499 0.501 0.252
Nb4 0.501 0.499 0.752
Nb5 0.643 0.357 0.743
Nb6 0.645 0.355 0.253
O1 0.002 0.998 0.290
O2 0.126 0.874 0.743
O3 0.128 0.872 0.253
O4 0.295 0.705 0.800
O5 0.297 0.703 0.202
O6 0.354 0.646 0.500
O7 0.381 0.619 0.998
O8 0.435 0.565 0.329
O9 0.435 0.565 0.699
O10 0.479 0.521 0.018
O11 0.521 0.479 0.518
O12 0.565 0.435 0.199
O13 0.565 0.435 0.829
O14 0.619 0.381 0.498
O15 0.646 0.354 0.000
O16 0.703 0.297 0.702
O17 0.705 0.295 0.300
O18 0.872 0.128 0.753
O19 0.874 0.126 0.243
O20 0.998 0.002 0.790

---

[3]
# GGA-PBEsol LuMn2Ge2, relaxed
# E_form: -0.46 eV per atom
# magnetic moment: 0.75 μB per atom
# density of states at the Fermi level: 2.912 states/eV per cell
data_LuMn2Ge2
_chemical_formula_sum 'Lu1 Mn2 Ge2'
_symmetry_space_group_name_H-M 'P 1'
_symmetry_Int_Tables_number 1
_cell_length_a 5.940
_cell_length_b 5.940
_cell_length_c 5.940
_cell_angle_alpha 142.32
_cell_angle_beta 142.32
_cell_angle_gamma 54.35
loop_
_symmetry_equiv_pos_as_xyz
'x,y,z'
loop_
_atom_site_label
_atom_site_fract_x
_atom_site_fract_y
_atom_site_fract_z
Lu1 0.000 0.000 0.000
Mn1 0.250 0.750 0.500
Mn2 0.750 0.250 0.500
Ge1 0.383 0.383 0.000
Ge2 0.617 0.617 0.000

---

[4]
# GGA-PBEsol ZrInNi, relaxed
# E_form: -0.07 eV per atom
# magnetic moment: 0.00 μB per atom
# density of states at the Fermi level: 2.127 states/eV per cell
data_ZrInNi
_chemical_formula_sum 'Zr1 In1 Ni1'
_symmetry_space_group_name_H-M 'P 1'
_symmetry_Int_Tables_number 1
_cell_length_a 3.391
_cell_length_b 3.391
_cell_length_c 5.837
_cell_angle_alpha 90.00
_cell_angle_beta 90.00
_cell_angle_gamma 120.00
loop_
_symmetry_equiv_pos_as_xyz
'x,y,z'
loop_
_atom_site_label
_atom_site_fract_x
_atom_site_fract_y
_atom_site_fract_z
Zr1 0.000 0.000 0.000
In1 0.333 0.667 0.577
Ni1 0.667 0.333 0.267

---

[5]
# GGA-PBEsol La3HIr, relaxed
# magnetic moment: 0.00 μB per atom
# density of states at the Fermi level: 7.173 states/eV per cell
# ΔE to the lowest computed polymorph: 0 meV/atom
data_La3HIr
_chemical_formula_sum 'La3 H1 Ir1'
_symmetry_space_group_name_H-M 'P 1'
_symmetry_Int_Tables_number 1
_cell_length_a 4.773
_cell_length_b 4.773
_cell_length_c 4.773
_cell_angle_alpha 90.00
_cell_angle_beta 90.00
_cell_angle_gamma 90.00
loop_
_symmetry_equiv_pos_as_xyz
'x,y,z'
loop_
_atom_site_label
_atom_site_fract_x
_atom_site_fract_y
_atom_site_fract_z
La1 0.000 0.000 0.500
La2 0.000 0.500 0.000
La3 0.500 0.000 0.000
H1 0.000 0.000 0.000
Ir1 0.500 0.500 0.500

---

[6]
# GGA-PBEsol Ni2WCl, relaxed
# magnetic moment: 0.00 μB per atom
# VASP energy: -24.3 eV per formula unit
# density of states at the Fermi level: 6.160 states/eV per cell
data_Ni2WCl
_chemical_formula_sum 'Ni2 W1 Cl1'
_symmetry_space_group_name_H-M 'P 1'
_symmetry_Int_Tables_number 1
_cell_length_a 3.538
_cell_length_b 3.538
_cell_length_c 4.066
_cell_angle_alpha 90.00
_cell_angle_beta 90.00
_cell_angle_gamma 90.00
loop_
_symmetry_equiv_pos_as_xyz
'x,y,z'
loop_
_atom_site_label
_atom_site_fract_x
_atom_site_fract_y
_atom_site_fract_z
Ni1 0.000 0.500 0.000
Ni2 0.500 0.000 0.000
W1 0.000 0.000 0.500
Cl1 0.500 0.500 0.500

---

[7]
# GGA-PBEsol Ba2TlBr, relaxed
# magnetic moment: 0.00 μB per atom
# density of states at the Fermi level: 2.292 states/eV per cell
# ΔE to the lowest computed polymorph: 0 meV/atom
data_Ba2TlBr
_chemical_formula_sum 'Ba2 Tl1 Br1'
_symmetry_space_group_name_H-M 'P 1'
_symmetry_Int_Tables_number 1
_cell_length_a 3.927
_cell_length_b 3.928
_cell_length_c 9.092
_cell_angle_alpha 90.00
_cell_angle_beta 90.08
_cell_angle_gamma 90.00
loop_
_symmetry_equiv_pos_as_xyz
'x,y,z'
loop_
_atom_site_label
_atom_site_fract_x
_atom_site_fract_y
_atom_site_fract_z
Ba1 0.001 0.000 0.247
Ba2 0.999 0.000 0.753
Tl1 0.500 0.500 0.000
Br1 0.500 0.500 0.500

---

[8]
# GGA-PBEsol CaFe2Ir, relaxed
# E_form: 0.45 eV per atom
# magnetic moment: 1.50 μB per atom
# density of states at the Fermi level: 4.060 states/eV per cell
data_CaFe2Ir
_chemical_formula_sum 'Ca1 Fe2 Ir1'
_symmetry_space_group_name_H-M 'P 1'
_symmetry_Int_Tables_number 1
_cell_length_a 3.921
_cell_length_b 3.921
_cell_length_c 3.969
_cell_angle_alpha 90.00
_cell_angle_beta 90.00
_cell_angle_gamma 90.00
loop_
_symmetry_equiv_pos_as_xyz
'x,y,z'
loop_
_atom_site_label
_atom_site_fract_x
_atom_site_fract_y
_atom_site_fract_z
Ca1 0.000 0.000 0.000
Fe1 0.000 0.500 0.500
Fe2 0.500 0.000 0.500
Ir1 0.500 0.500 0.000

---

Look up the magnetic moment of the third one.
0.75 μB per atom

---

Which of these has the highest density of states at the Fermi level?
La3HIr

---

What is the magnetic moment in the eighth record?
1.50 μB per atom

---

What did the third record say?
# GGA-PBEsol LuMn2Ge2, relaxed
# E_form: -0.46 eV per atom
# magnetic moment: 0.75 μB per atom
# density of states at the Fermi level: 2.912 states/eV per cell
data_LuMn2Ge2
_chemical_formula_sum 'Lu1 Mn2 Ge2'
_symmetry_space_group_name_H-M 'P 1'
_symmetry_Int_Tables_number 1
_cell_length_a 5.940
_cell_length_b 5.940
_cell_length_c 5.940
_cell_angle_alpha 142.32
_cell_angle_beta 142.32
_cell_angle_gamma 54.35
loop_
_symmetry_equiv_pos_as_xyz
'x,y,z'
loop_
_atom_site_label
_atom_site_fract_x
_atom_site_fract_y
_atom_site_fract_z
Lu1 0.000 0.000 0.000
Mn1 0.250 0.750 0.500
Mn2 0.750 0.250 0.500
Ge1 0.383 0.383 0.000
Ge2 0.617 0.617 0.000